{"formula": "Ac6TePt3Rh2", "functional": "PBE-GGA", "state": "optimized geometry", "lattice_angstrom": [[4.390, 0.000, 0.000], [0.000, 9.007, 0.470], [-2.195, -2.441, 9.264]], "species": ["Ac", "Ac", "Ac", "Ac", "Ac", "Ac", "Te", "Pt", "Pt", "Pt", "Rh", "Rh"], "fractional_positions": [[0.321, 0.896, 0.643], [0.669, 0.585, 0.339], [0.679, 0.104, 0.357], [0.008, 0.277, 0.017], [0.992, 0.723, 0.983], [0.331, 0.415, 0.661], [0.500, 0.000, 0.000], [0.500, 0.500, 0.000], [0.840, 0.162, 0.680], [0.160, 0.838, 0.320], [0.831, 0.660, 0.663], [0.169, 0.340, 0.337]], "raw_formation_energy_ev_per_atom": -1.01, "final_energy_ev_per_cell": -72.724}


{"formula": "Te3PbAu", "functional": "PBE-GGA", "state": "optimized geometry", "lattice_angstrom": [[5.472, 0.000, 0.000], [0.000, 5.472, 0.000], [0.000, 0.000, 5.472]], "species": ["Pb", "Te", "Te", "Te", "Au"], "fractional_positions": [[0.500, 0.500, 0.500], [0.000, 0.500, 0.000], [0.000, 0.000, 0.500], [0.500, 0.000, 0.000], [0.000, 0.000, 0.000]], "raw_formation_energy_ev_per_atom": 0.21, "e_above_lowest_polymorph_ev_per_atom": 0.000, "final_energy_ev_per_cell": -15.368}


{"formula": "BaCd3In3", "functional": "PBE-GGA", "state": "optimized geometry", "lattice_angstrom": [[7.985, 0.000, 0.000], [0.000, 7.985, 0.000], [0.000, 0.000, 7.985]], "species": ["Cd", "Cd", "Cd", "Cd", "Cd", "Cd", "Ba", "Ba", "In", "In", "In", "In", "In", "In"], "fractional_positions": [[0.000, 0.250, 0.500], [0.000, 0.750, 0.500], [0.500, 0.000, 0.750], [0.750, 0.500, 0.000], [0.500, 0.000, 0.250], [0.250, 0.500, 0.000], [0.500, 0.500, 0.500], [0.000, 0.000, 0.000], [0.250, 0.000, 0.500], [0.000, 0.500, 0.250], [0.500, 0.750, 0.000], [0.750, 0.000, 0.500], [0.000, 0.500, 0.750], [0.500, 0.250, 0.000]], "e_above_lowest_polymorph_ev_per_atom": 0.271, "delta_e_f_ev_per_atom": 0.039, "final_energy_ev_per_cell": -25.221}


{"formula": "V4GaRu", "functional": "PBE-GGA", "state": "optimized geometry", "lattice_angstrom": [[-2.327, -1.952, -0.304], [1.907, -2.342, 0.440], [-1.482, 0.419, 8.659]], "species": ["V", "V", "V", "V", "Ga", "Ru"], "fractional_positions": [[0.500, 0.500, 0.173], [0.500, 0.500, 0.827], [0.000, 0.000, 0.671], [0.000, 0.000, 0.329], [0.500, 0.500, 0.500], [0.000, 0.000, 0.000]], "delta_e_f_ev_per_atom": -0.200, "final_energy_ev_per_cell": -49.975}


{"formula": "InIrI2O", "functional": "PBE-GGA", "state": "optimized geometry", "lattice_angstrom": [[5.853, 0.000, 0.000], [0.000, 5.853, 0.000], [0.000, 0.000, 3.787]], "species": ["I", "I", "Ir", "O", "In"], "fractional_positions": [[0.000, 0.500, 0.000], [0.500, 0.000, 0.000], [0.000, 0.000, 0.000], [0.000, 0.000, 0.500], [0.500, 0.500, 0.500]], "raw_formation_energy_ev_per_atom": -0.19, "e_above_lowest_polymorph_ev_per_atom": 0.000, "final_energy_ev_per_cell": -20.617}


{"formula": "ZrRuW3", "functional": "PBE-GGA", "state": "optimized geometry", "lattice_angstrom": [[4.707, 0.000, 0.000], [0.000, 4.707, 0.000], [0.000, 0.000, 4.707]], "species": ["Ru", "Zr", "W", "W", "W"], "fractional_positions": [[0.000, 0.000, 0.000], [0.500, 0.500, 0.500], [0.000, 0.500, 0.000], [0.000, 0.000, 0.500], [0.500, 0.000, 0.000]], "e_above_lowest_polymorph_ev_per_atom": 0.000, "delta_e_f_ev_per_atom": 1.493, "final_energy_ev_per_cell": -49.220}


{"formula": "LiCu2Pt", "functional": "PBE-GGA", "state": "optimized geometry", "lattice_angstrom": [[2.673, 0.000, 0.000], [0.000, 3.894, 0.000], [0.000, 0.000, 5.100]], "species": ["Cu", "Cu", "Li", "Pt"], "fractional_positions": [[0.000, 0.000, 0.999], [0.000, 0.000, 0.501], [0.500, 0.500, 0.250], [0.500, 0.500, 0.750]], "e_above_lowest_polymorph_ev_per_atom": 0.073, "delta_e_f_ev_per_atom": -0.204, "final_energy_ev_per_cell": -16.963}


{"formula": "Y3SF", "functional": "PBE-GGA", "state": "optimized geometry", "lattice_angstrom": [[4.787, 0.000, 0.000], [0.000, 4.787, 0.000], [0.000, 0.000, 4.787]], "species": ["Y", "Y", "Y", "S", "F"], "fractional_positions": [[0.000, 0.500, 0.000], [0.000, 0.000, 0.500], [0.500, 0.000, 0.000], [0.500, 0.500, 0.500], [0.000, 0.000, 0.000]], "raw_formation_energy_ev_per_atom": -0.86, "final_energy_ev_per_cell": -29.694}